1.
First-principles (PBE) data for RbSc3Co after structural relaxation, as listed in the Alexandria database.

a b c (Å): 4.8982 4.8982 4.8982
angles (deg): 90.00 90.00 90.00
With the nearest neighbours (Å) after each atom.
Space group Pm-3m (No. 221)
Symmetry-distinct sites (fractional):
1 Rb 0.0000 0.0000 0.0000  6 Sc 2.45
2 Sc 0.0000 0.0000 0.5000  2 Rb 2.45
3 Co 0.5000 0.5000 0.5000  12 Sc 3.46

Its total energy is -3.51 eV per atom. The magnetic moment is 0.000 Bohr magnetons per cell. The value obtained for the formation energy is 1.91 eV per atom. The energy relative to the lowest polymorph listed for this composition is 8.22 eV/f.u.

2.
First-principles (PBE) data for V2FeNi3 after structural relaxation, as listed in the Alexandria database.

a b c (Å): 11.5781 4.1824 6.8593
angles (deg): 90.00 121.47 90.00
With the nearest neighbours (Å) after each atom.
Space group C2/m (No. 12)
Symmetry-distinct sites (fractional):
1 V 0.0354 0.0000 0.2116  5 Ni 2.40-2.66, 2 Fe 2.55, 2 V 2.57
2 V 0.2040 0.5000 0.5516  5 Ni 2.42-2.62, 3 V 2.57-2.61, 1 Fe 2.60
3 Fe 0.1255 0.5000 0.1214  6 Ni 2.47-2.72, 1 Fe 2.48, 3 V 2.55-2.60
4 Ni 0.0404 0.5000 0.7078  4 V 2.43-2.62, 2 Fe 2.47-2.72, 4 Ni 2.49-2.52
5 Ni 0.1254 0.0000 0.6191  4 V 2.42-2.66, 1 Fe 2.48, 4 Ni 2.48-2.52
6 Ni 0.2066 0.0000 0.0365  2 V 2.40-2.45, 4 Ni 2.48-2.51, 3 Fe 2.48-2.67

Its total energy is -7.41 eV per atom. The magnetic moment is 11.960 Bohr magnetons per cell. The value obtained for the formation energy is -0.07 eV per atom.

3.
First-principles (PBE) data for CuSbN2O after structural relaxation, as listed in the Alexandria database.

a b c (Å): 3.8218 3.8218 3.8266
angles (deg): 90.00 90.00 90.00
With the nearest neighbours (Å) after each atom.
Space group P4/mmm (No. 123)
Symmetry-distinct sites (fractional):
1 Cu 0.0000 0.0000 0.0000  4 N 1.91, 2 O 1.91
2 Sb 0.5000 0.5000 0.5000  4 O 2.70, 8 N 2.70
3 N 0.0000 0.5000 0.0000  2 Cu 1.91
4 O 0.0000 0.0000 0.5000  2 Cu 1.91

Its total energy is -4.94 eV per atom. The magnetic moment is 0.000 Bohr magnetons per cell.

4.
First-principles (PBE) data for GeSe2Cl after structural relaxation, as listed in the Alexandria database.

a b c (Å): 7.0439 7.0439 8.6411
angles (deg): 90.00 90.00 90.00
With the nearest neighbours (Å) after each atom.
Space group I-42d (No. 122)
Symmetry-distinct sites (fractional):
1 Ge 0.0000 0.0000 0.0000  4 Se 2.45
2 Se 0.1880 0.2500 0.1250  2 Ge 2.45
3 Cl 0.0000 0.0000 0.5000  4 Se 3.02

Its total energy is -3.31 eV per atom. The magnetic moment is 0.003 Bohr magnetons per cell. The energy relative to the lowest polymorph listed for this composition is 0.70 eV/f.u.

5.
First-principles (PBE) data for ZrNiOs4 after structural relaxation, as listed in the Alexandria database.

a b c (Å): 7.3013 7.3013 7.3013
angles (deg): 90.00 90.00 90.00
With the nearest neighbours (Å) after each atom.
Space group F-43m (No. 216)
Symmetry-distinct sites (fractional):
1 Zr 0.0000 0.0000 0.0000  12 Os 3.03, 4 Ni 3.16
2 Ni 0.2500 0.2500 0.2500  12 Os 3.03, 4 Zr 3.16
3 Os 0.1243 0.1243 0.6243  6 Os 2.57-2.60

Its total energy is -9.66 eV per atom. The magnetic moment is 3.618 Bohr magnetons per cell. The value obtained for the formation energy is 0.21 eV per atom.

6.
First-principles (PBE) data for LaTa2Mn after structural relaxation, as listed in the Alexandria database.

a b c (Å): 3.1189 3.1189 28.2737
angles (deg): 90.00 90.00 120.00
With the nearest neighbours (Å) after each atom.
Space group R-3m (No. 166, hexagonal axes)
Symmetry-distinct sites (fractional):
1 La 0.0000 0.0000 0.0000  6 La 3.12, 6 Ta 3.42
2 Ta 0.0000 0.0000 0.2304  3 Mn 2.55
3 Mn 0.0000 0.0000 0.5000  6 Ta 2.55

Its total energy is -8.93 eV per atom. The magnetic moment is 0.001 Bohr magnetons per cell. The value obtained for the formation energy is 0.52 eV per atom. The energy relative to the lowest polymorph listed for this composition is 1.06 eV/f.u.

7.
First-principles (PBE) data for LiZr2Tl3Te6 after structural relaxation, as listed in the Alexandria database.

a b c (Å): 7.3904 12.7811 8.4381
angles (deg): 90.00 106.81 90.00
With the nearest neighbours (Å) after each atom.
Space group C2/m (No. 12)
Symmetry-distinct sites (fractional):
1 Li 0.0000 0.0000 0.0000  6 Te 3.01-3.04
2 Zr 0.0000 0.3336 0.0000  6 Te 2.93-2.95
3 Tl 0.0000 0.1653 0.5000  6 Te 3.37-3.45
4 Tl 0.0000 0.5000 0.5000  6 Te 3.39-3.44
5 Te 0.2254 0.5000 0.2027  2 Zr 2.93, 1 Li 3.01
6 Te 0.2410 0.1721 0.2072  2 Zr 2.94-2.95, 1 Li 3.04

Its total energy is -4.42 eV per atom. The magnetic moment is 0.000 Bohr magnetons per cell.

8.
First-principles (PBE) data for Fe2AgSnPb after structural relaxation, as listed in the Alexandria database.

a b c (Å): 4.9137 4.9137 5.2733
angles (deg): 90.00 90.00 90.00
With the nearest neighbours (Å) after each atom.
Space group P4/mmm (No. 123)
Symmetry-distinct sites (fractional):
1 Fe 0.0000 0.5000 0.0000  2 Ag 2.46
2 Ag 0.0000 0.0000 0.0000  4 Fe 2.46, 2 Pb 2.64
3 Sn 0.5000 0.5000 0.5000  4 Pb 3.47, 8 Fe 3.60
4 Pb 0.0000 0.0000 0.5000  2 Ag 2.64

Its total energy is -4.35 eV per atom. The magnetic moment is 6.380 Bohr magnetons per cell. The value obtained for the formation energy is 1.14 eV per atom.